The following is a PBE+U calculation of CsHfCr2O8 after structural relaxation, from Alexandria via LeMat-Bulk.

Output
Energy = -7.3897 eV per atom
SG = C2/m (12)
Magnetic moment = 1.00 μB/cell

Lattice parameters (Å, degrees): 5.580 5.580 8.589 91.87 91.87 61.45
Fractional positions:
1 Cs 0.000 0.000 0.000
2 Hf 0.000 0.000 0.500
3 Cr 0.353 0.353 0.705
4 Cr 0.647 0.647 0.295
5 O 0.198 0.693 0.660
6 O 0.200 0.200 0.598
7 O 0.307 0.802 0.340
8 O 0.330 0.330 0.892
9 O 0.670 0.670 0.108
10 O 0.693 0.198 0.660
11 O 0.800 0.800 0.402
12 O 0.802 0.307 0.340